[1]
DFT (GGA-PBE) results for an optimized crystal structure of ReSn2Au.

Lattice parameters (Å, degrees): 2.9458 2.9458 33.6776 90.00 90.00 120.00
Closest atoms and distances in Å follow each position.
Sites, in units of the cell vectors:
Re1 0.0000 0.0000 0.0000  2 Sn 2.83, 6 Re 2.95
Re2 0.3333 0.6667 0.6667  2 Sn 2.83, 6 Re 2.95
Re3 0.6667 0.3333 0.3333  2 Sn 2.83, 6 Re 2.95
Sn1 0.0000 0.0000 0.0840  1 Re 2.83, 6 Sn 2.95
Sn2 0.0000 0.0000 0.9160  1 Re 2.83, 6 Sn 2.95
Sn3 0.3333 0.6667 0.5827  1 Re 2.83, 6 Sn 2.95
Sn4 0.3333 0.6667 0.7507  1 Re 2.83, 6 Sn 2.95
Sn5 0.6667 0.3333 0.2493  1 Re 2.83, 6 Sn 2.95
Sn6 0.6667 0.3333 0.4173  1 Re 2.83, 6 Sn 2.95
Au1 0.0000 0.0000 0.5000  6 Au 2.95, 6 Sn 3.26
Au2 0.3333 0.6667 0.1667  6 Au 2.95, 6 Sn 3.26
Au3 0.6667 0.3333 0.8333  6 Au 2.95, 6 Sn 3.26

Properties
- formation energy from the elements (eV/atom) = 0.686
- ΔE to the lowest computed polymorph (meV/atom) = 93

[2]
DFT (GGA-PBE) results for an optimized crystal structure of SnP2IrS.

Lattice parameters (Å, degrees): 4.8971 4.8971 4.8050 90.00 90.00 90.00
Closest atoms and distances in Å follow each position.
Sites, in units of the cell vectors:
Sn1 0.0000 0.0000 0.0000  2 S 2.40, 4 P 2.45
P1 0.0000 0.5000 0.0000  2 Sn 2.45
P2 0.5000 0.0000 0.0000  2 Sn 2.45
Ir1 0.5000 0.5000 0.5000  8 P 3.43, 4 S 3.46
S1 0.0000 0.0000 0.5000  2 Sn 2.40

Properties
- formation energy from raw total energies (eV per atom) = 1.70
- ΔE to the lowest computed polymorph (meV/atom) = 1306

[3]
DFT (GGA-PBE) results for an optimized crystal structure of LiHf3Cr.

Lattice parameters (Å, degrees): 4.8649 4.8649 4.8649 90.00 90.00 90.00
Closest atoms and distances in Å follow each position.
Sites, in units of the cell vectors:
Li1 0.0000 0.0000 0.0000  12 Hf 3.44
Hf1 0.0000 0.5000 0.5000  2 Cr 2.43
Hf2 0.5000 0.0000 0.5000  2 Cr 2.43
Hf3 0.5000 0.5000 0.0000  2 Cr 2.43
Cr1 0.5000 0.5000 0.5000  6 Hf 2.43

Properties
- formation energy from the elements (eV/atom) = 0.652
- ΔE to the lowest computed polymorph (meV/atom) = 0

[4]
DFT (GGA-PBE) results for an optimized crystal structure of V2FeTc.

Lattice parameters (Å, degrees): 2.6008 4.5281 9.1885 90.00 90.00 90.00
Closest atoms and distances in Å follow each position.
Sites, in units of the cell vectors:
V1 0.0000 0.0000 0.2334  1 Fe 2.14
V2 0.0000 0.0000 0.7667  1 Fe 2.14
V3 0.5000 0.5000 0.2666  1 Fe 2.14
V4 0.5000 0.5000 0.7333  1 Fe 2.14
Fe1 0.0000 0.0000 0.0000  2 V 2.14
Fe2 0.5000 0.5000 0.5000  2 V 2.14
Tc1 0.0000 0.0000 0.5000  2 V 2.45, 2 Tc 2.60, 4 Fe 2.61
Tc2 0.5000 0.5000 0.0000  2 V 2.45, 2 Tc 2.60, 4 Fe 2.61

Properties
- formation energy from the elements (eV/atom) = 0.453

| no. | uncorrected energy (eV/atom) | magnetization (μB/atom) |
| --- | --- | --- |
| 1 | -5.247 | 0.00 |
| 2 | -3.858 | 0.10 |
| 3 | -7.627 | 0.00 |
| 4 | -8.813 | 0.00 |